The following is a GGA-PBEsol calculation of an optimized crystal structure of As3PtCl, from the Alexandria database.

Uncorrected formation energy: 0.65 eV/atom
Symmetry: Pm-3m (221)

Geometry as extended XYZ:
```
5
Lattice="-1.3506 2.2059 -4.1515 -4.4021 0.9225 1.9223 1.6499 4.2671 1.7306" Properties=species:S:1:pos:R:3 pbc="T T T"
Cl -2.0514 3.6977 -0.2493
As 0.8249 2.1335 0.8653
As -2.2011 0.4612 0.9611
As -0.6753 1.1029 -2.0757
Pt 0.0000 0.0000 0.0000
```